1.
A plane-wave DFT calculation with PBE-GGA was carried out for crystalline AgTe4Au at its relaxed geometry.

Computed properties:
Uncorrected energy, eV per cell: -38.221
Volume, A^3/atom: 29.3
Space-group type: No. 13
ΔE to the lowest computed polymorph, meV/atom: 0

Unit cell a=9.0698 b=4.5586 c=10.2657 alpha=90.00 beta=123.94 gamma=90.00
With the nearest neighbours (Å) after each atom.
Sites, in units of the cell vectors:
Ag1 0.0000 0.0188 0.2500  4 Te 2.79-2.96
Ag2 0.0000 0.9812 0.7500  4 Te 2.79-2.96
Te1 0.2033 0.4686 0.2048  1 Au 2.71, 1 Te 2.85, 1 Ag 2.96
Te2 0.2033 0.5314 0.7048  1 Au 2.71, 1 Te 2.85, 1 Ag 2.96
Te3 0.3065 0.0979 0.0452  1 Au 2.75, 1 Ag 2.79, 1 Te 2.85
Te4 0.3065 0.9021 0.5452  1 Au 2.75, 1 Ag 2.79, 1 Te 2.85
Te5 0.6935 0.0979 0.4548  1 Au 2.75, 1 Ag 2.79, 1 Te 2.85
Te6 0.6935 0.9021 0.9548  1 Au 2.75, 1 Ag 2.79, 1 Te 2.85
Te7 0.7967 0.4686 0.2952  1 Au 2.71, 1 Te 2.85, 1 Ag 2.96
Te8 0.7967 0.5314 0.7952  1 Au 2.71, 1 Te 2.85, 1 Ag 2.96
Au1 0.5000 0.5000 0.0000  4 Te 2.71-2.75
Au2 0.5000 0.5000 0.5000  4 Te 2.71-2.75

2.
A plane-wave DFT calculation with PBE-GGA was carried out for crystalline Ag12TeAu6 at its relaxed geometry.

Computed properties:
Uncorrected energy, eV per cell: -55.358
Volume, A^3/atom: 19.7
Space-group type: No. 166

Unit cell a=7.2682 b=7.2682 c=7.2682 alpha=96.81 beta=96.81 gamma=96.81
With the nearest neighbours (Å) after each atom.
Sites, in units of the cell vectors:
Ag1 0.0000 0.2638 0.7362  4 Au 2.82-2.93, 6 Ag 2.87-2.91
Ag2 0.0000 0.7362 0.2638  4 Au 2.82-2.93, 6 Ag 2.87-2.91
Ag3 0.1303 0.1303 0.3934  7 Ag 2.86-3.18, 2 Au 2.89
Ag4 0.1303 0.3934 0.1303  7 Ag 2.86-3.18, 2 Au 2.89
Ag5 0.2638 0.0000 0.7362  4 Au 2.82-2.93, 6 Ag 2.87-2.91
Ag6 0.2638 0.7362 0.0000  4 Au 2.82-2.93, 6 Ag 2.87-2.91
Ag7 0.3934 0.1303 0.1303  7 Ag 2.86-3.18, 2 Au 2.89
Ag8 0.6066 0.8697 0.8697  7 Ag 2.86-3.18, 2 Au 2.89
Ag9 0.7362 0.0000 0.2638  4 Au 2.82-2.93, 6 Ag 2.87-2.91
Ag10 0.7362 0.2638 0.0000  4 Au 2.82-2.93, 6 Ag 2.87-2.91
Ag11 0.8697 0.6066 0.8697  7 Ag 2.86-3.18, 2 Au 2.89
Ag12 0.8697 0.8697 0.6066  7 Ag 2.86-3.18, 2 Au 2.89
Te1 0.5000 0.5000 0.5000  6 Au 2.97
Au1 0.1479 0.6161 0.6161  3 Au 2.81-3.07, 6 Ag 2.82-2.93, 1 Te 2.97
Au2 0.3839 0.3839 0.8521  3 Au 2.81-3.07, 6 Ag 2.82-2.93, 1 Te 2.97
Au3 0.3839 0.8521 0.3839  3 Au 2.81-3.07, 6 Ag 2.82-2.93, 1 Te 2.97
Au4 0.6161 0.1479 0.6161  3 Au 2.81-3.07, 6 Ag 2.82-2.93, 1 Te 2.97
Au5 0.6161 0.6161 0.1479  3 Au 2.81-3.07, 6 Ag 2.82-2.93, 1 Te 2.97
Au6 0.8521 0.3839 0.3839  3 Au 2.81-3.07, 6 Ag 2.82-2.93, 1 Te 2.97

3.
A plane-wave DFT calculation with PBE-GGA was carried out for crystalline AgTe2Au at its relaxed geometry.

Computed properties:
Uncorrected energy, eV per cell: -12.077
Volume, A^3/atom: 26.0
Space-group type: No. 25
ΔE to the lowest computed polymorph, meV/atom: 118

Unit cell a=3.2025 b=4.2999 c=7.5564 alpha=90.00 beta=90.00 gamma=90.00
With the nearest neighbours (Å) after each atom.
Sites, in units of the cell vectors:
Ag1 0.0000 0.0000 0.0000  5 Te 2.95-3.01, 4 Au 3.11, 2 Ag 3.20
Te1 0.0000 0.0000 0.3901  1 Ag 2.95, 4 Au 3.01, 2 Te 3.20
Te2 0.5000 0.5000 0.8192  1 Au 2.93, 4 Ag 3.01, 2 Te 3.20
Au1 0.5000 0.5000 0.2076  5 Te 2.93-3.01, 4 Ag 3.11, 2 Au 3.20

4.
A plane-wave DFT calculation with PBE-GGA was carried out for crystalline AgTeAu2 at its relaxed geometry.

Computed properties:
Uncorrected energy, eV per cell: -11.921
Volume, A^3/atom: 21.2
Space-group type: No. 99

Unit cell a=3.0501 b=3.0501 c=9.1184 alpha=90.00 beta=90.00 gamma=90.00
With the nearest neighbours (Å) after each atom.
Sites, in units of the cell vectors:
Ag1 0.0000 0.0000 0.0000  4 Au 2.92, 4 Ag 3.05, 4 Te 3.27
Te1 0.5000 0.5000 0.7304  4 Te 3.05, 4 Ag 3.27
Au1 0.0000 0.0000 0.4338  8 Au 2.93-3.05
Au2 0.5000 0.5000 0.2164  4 Ag 2.92, 8 Au 2.93-3.05

Q: Which of these has the lowest volume?
A: Ag12TeAu6

Q: What is the formula in the third record?
A: AgTe2Au

Q: Among the records above, which one has the lowest volume?
A: Ag12TeAu6

Q: Which of these has the highest volume?
A: AgTe4Au